# Ce2NF, relaxed, DFT PBE
data_Ce2NF
_space_group_name_H-M_alt 'P 4/m m m'
_space_group_IT_number 123
_space_group_name_Hall '-P 4 2'
_cell_length_a 3.110
_cell_length_b 3.110
_cell_length_c 6.456
_cell_angle_alpha 90.00
_cell_angle_beta 90.00
_cell_angle_gamma 90.00
loop_
_atom_site_label
_atom_site_type_symbol
_atom_site_fract_x
_atom_site_fract_y
_atom_site_fract_z
Ce1 Ce 0.000 0.000 0.222
N1 N 0.500 0.500 0.000
F1 F 0.500 0.500 0.500
# calculated volume	62	Å³/cell
# calculated total energy	-27.95	eV for the cell shown
# M_tot	2.53	μB/f.u.
# Fermi-level density of states	2.2856	states/eV per atom